1.
The following is a DFT calculation (PBE) of an optimized crystal structure of Tm2Ga4Ni3Pd.

Formation enthalpy at 0 K   -625 meV per atom
Calculated total energy   -4.9840 eV/atom
DOS(E_F)   4.02 states/eV per cell

Cell lengths 3.9488, 3.9488, 10.6266 Å; angles 90.00, 90.00, 90.00 degrees
Last column: nearest neighbours and their distance in Å.
Atoms (fractional coordinates):
Ga  0.5000  0.0000  0.6414  3 Ni 2.36-2.48, 2 Pd 2.48
Ga  0.5000  0.5000  0.0000  4 Ni 2.45
Ga  0.0000  0.5000  0.3586  3 Ni 2.36-2.48, 2 Pd 2.48
Ga  0.0000  0.0000  0.0000  4 Ni 2.45
Pd  0.5000  0.5000  0.5000  4 Ga 2.48
Tm  0.0000  0.5000  0.7640  4 Ni 2.98, 8 Ga 3.08-3.19
Tm  0.5000  0.0000  0.2360  4 Ni 2.98, 8 Ga 3.08-3.19
Ni  0.0000  0.5000  0.1368  5 Ga 2.36-2.45
Ni  0.0000  0.0000  0.5000  4 Ga 2.48
Ni  0.5000  0.0000  0.8632  5 Ga 2.36-2.45

2.
The following is a DFT calculation (PBE) of an optimized crystal structure of UGaNiPd.

Formation enthalpy at 0 K   -250 meV per atom
Calculated total energy   -6.5721 eV/atom
DOS(E_F)   6.04 states/eV per cell

Cell lengths 4.6069, 4.6069, 4.6069 Å; angles 60.00, 60.00, 60.00 degrees
Last column: nearest neighbours and their distance in Å.
Atoms (fractional coordinates):
Ga  0.2500  0.2500  0.2500  4 Pd 2.82, 4 Ni 2.82
Pd  0.5000  0.5000  0.5000  4 U 2.82, 4 Ga 2.82
Ni  0.0000  0.0000  0.0000  4 Ga 2.82, 4 U 2.82
U  0.7500  0.7500  0.7500  4 Pd 2.82, 4 Ni 2.82

3.
The following is a DFT calculation (PBE) of an optimized crystal structure of GaNiPdW2.

Formation enthalpy at 0 K   1289 meV per atom
Calculated total energy   -6.6920 eV/atom
DOS(E_F)   5.54 states/eV per cell

Cell lengths 4.4407, 4.5931, 4.4407 Å; angles 90.00, 90.00, 90.00 degrees
Last column: nearest neighbours and their distance in Å.
Atoms (fractional coordinates):
Pd  0.0000  0.5000  0.0000  2 Ni 2.30
Ga  0.5000  0.5000  0.5000  4 Pd 3.14, 8 W 3.19
W  0.5000  0.0000  0.0000  2 Ni 2.22
W  0.0000  0.0000  0.5000  2 Ni 2.22
Ni  0.0000  0.0000  0.0000  4 W 2.22, 2 Pd 2.30

4.
The following is a DFT calculation (PBE) of an optimized crystal structure of YGa5Ni2Pd.

Formation enthalpy at 0 K   -283 meV per atom
Calculated total energy   -4.5447 eV/atom
DOS(E_F)   2.79 states/eV per cell

Cell lengths 4.2202, 4.2202, 9.5649 Å; angles 90.00, 90.00, 90.00 degrees
Last column: nearest neighbours and their distance in Å.
Atoms (fractional coordinates):
Ga  0.5000  0.0000  0.1627  2 Ni 2.35, 2 Pd 2.62
Ga  0.5000  0.0000  0.8373  2 Ni 2.35, 2 Pd 2.62
Ga  0.5000  0.5000  0.5000  2 Ni 2.19
Ga  0.0000  0.5000  0.1627  2 Ni 2.35, 2 Pd 2.62
Ga  0.0000  0.5000  0.8373  2 Ni 2.35, 2 Pd 2.62
Y  0.0000  0.0000  0.5000  4 Ga 2.98
Pd  0.0000  0.0000  0.0000  8 Ga 2.62
Ni  0.5000  0.5000  0.7290  5 Ga 2.19-2.35
Ni  0.5000  0.5000  0.2710  5 Ga 2.19-2.35

5.
The following is a DFT calculation (PBE) of an optimized crystal structure of Y2Ga4NiPd3.

Formation enthalpy at 0 K   -723 meV per atom
Calculated total energy   -5.3622 eV/atom
DOS(E_F)   6.58 states/eV per cell

Cell lengths 4.0046, 4.0046, 11.3551 Å; angles 90.00, 90.00, 90.00 degrees
Last column: nearest neighbours and their distance in Å.
Atoms (fractional coordinates):
Ni  0.5000  0.5000  0.5000  4 Ga 2.48
Pd  0.0000  0.0000  0.5000  4 Ga 2.48
Pd  0.5000  0.0000  0.8517  5 Ga 2.52-2.62
Pd  0.0000  0.5000  0.1483  5 Ga 2.52-2.62
Y  0.5000  0.0000  0.2552  6 Pd 3.08-3.43, 4 Ga 3.12, 2 Ni 3.43
Y  0.0000  0.5000  0.7448  6 Pd 3.08-3.43, 4 Ga 3.12, 2 Ni 3.43
Ga  0.5000  0.5000  0.0000  4 Pd 2.62, 4 Ga 2.83
Ga  0.5000  0.0000  0.6296  2 Ni 2.48, 3 Pd 2.48-2.52
Ga  0.0000  0.0000  0.0000  4 Pd 2.62, 4 Ga 2.83
Ga  0.0000  0.5000  0.3704  2 Ni 2.48, 3 Pd 2.48-2.52

6.
The following is a DFT calculation (PBE) of an optimized crystal structure of Y2Ga3Ni4Pd.

Formation enthalpy at 0 K   -557 meV per atom
Calculated total energy   -5.5894 eV/atom
DOS(E_F)   5.31 states/eV per cell

Cell lengths 3.8572, 3.8572, 11.0094 Å; angles 90.00, 90.00, 90.00 degrees
Last column: nearest neighbours and their distance in Å.
Atoms (fractional coordinates):
Ni  0.5000  0.0000  0.6534  3 Ga 2.39-2.56, 2 Pd 2.56
Ni  0.0000  0.0000  0.0000  4 Ga 2.40
Ni  0.0000  0.5000  0.3466  3 Ga 2.39-2.56, 2 Pd 2.56
Ni  0.5000  0.5000  0.0000  4 Ga 2.40
Pd  0.5000  0.5000  0.5000  4 Ni 2.56, 4 Ga 2.73
Y  0.0000  0.5000  0.7430  4 Ni 2.90, 4 Ga 3.07
Y  0.5000  0.0000  0.2570  4 Ni 2.90, 4 Ga 3.07
Ga  0.5000  0.0000  0.8701  5 Ni 2.39-2.40
Ga  0.0000  0.5000  0.1299  5 Ni 2.39-2.40
Ga  0.0000  0.0000  0.5000  4 Ni 2.56, 4 Pd 2.73

7.
The following is a DFT calculation (PBE) of an optimized crystal structure of Y2Ga4Ni3Pd.

Formation enthalpy at 0 K   -639 meV per atom
Calculated total energy   -5.3960 eV/atom
DOS(E_F)   5.35 states/eV per cell

Cell lengths 3.9988, 3.9988, 10.5807 Å; angles 90.00, 90.00, 90.00 degrees
Last column: nearest neighbours and their distance in Å.
Atoms (fractional coordinates):
Y  0.0000  0.5000  0.7629  4 Ni 3.03, 8 Ga 3.11-3.21
Y  0.5000  0.0000  0.2371  4 Ni 3.03, 8 Ga 3.11-3.21
Pd  0.5000  0.5000  0.5000  4 Ga 2.49
Ni  0.5000  0.0000  0.8655  5 Ga 2.38-2.45
Ni  0.0000  0.0000  0.5000  4 Ga 2.49
Ni  0.0000  0.5000  0.1345  5 Ga 2.38-2.45
Ga  0.5000  0.0000  0.6406  3 Ni 2.38-2.49, 2 Pd 2.49
Ga  0.0000  0.5000  0.3594  3 Ni 2.38-2.49, 2 Pd 2.49
Ga  0.0000  0.0000  0.0000  4 Ni 2.45
Ga  0.5000  0.5000  0.0000  4 Ni 2.45

8.
The following is a DFT calculation (PBE) of an optimized crystal structure of YGa2NiPd.

Formation enthalpy at 0 K   100 meV per atom
Calculated total energy   -4.5988 eV/atom
DOS(E_F)   2.46 states/eV per cell

Cell lengths 4.6851, 5.3412, 4.6851 Å; angles 90.00, 90.00, 90.00 degrees
Last column: nearest neighbours and their distance in Å.
Atoms (fractional coordinates):
Pd  0.0000  0.0000  0.0000  4 Ga 2.34
Y  0.0000  0.5000  0.0000  2 Pd 2.67
Ni  0.5000  0.5000  0.5000  4 Y 3.31, 8 Ga 3.55
Ga  0.5000  0.0000  0.0000  2 Pd 2.34
Ga  0.0000  0.0000  0.5000  2 Pd 2.34

9.
The following is a DFT calculation (PBE) of an optimized crystal structure of YGaNiPd.

Formation enthalpy at 0 K   -571 meV per atom
Calculated total energy   -5.6874 eV/atom
DOS(E_F)   3.22 states/eV per cell

Cell lengths 4.5928, 4.5928, 4.5928 Å; angles 60.00, 60.00, 60.00 degrees
Last column: nearest neighbours and their distance in Å.
Atoms (fractional coordinates):
Ga  0.2500  0.2500  0.2500  4 Pd 2.81, 4 Ni 2.81
Y  0.7500  0.7500  0.7500  4 Ni 2.81, 4 Pd 2.81
Ni  0.0000  0.0000  0.0000  4 Ga 2.81, 4 Y 2.81
Pd  0.5000  0.5000  0.5000  4 Y 2.81, 4 Ga 2.81

10.
The following is a DFT calculation (PBE) of an optimized crystal structure of ZnGa2NiPd.

Formation enthalpy at 0 K   711 meV per atom
Calculated total energy   -2.9494 eV/atom
DOS(E_F)   4.49 states/eV per cell

Cell lengths 4.5801, 4.6887, 4.5801 Å; angles 90.00, 90.00, 90.00 degrees
Last column: nearest neighbours and their distance in Å.
Atoms (fractional coordinates):
Pd  0.0000  0.5000  0.0000  2 Zn 2.34
Ga  0.0000  0.0000  0.5000  2 Zn 2.29
Ga  0.5000  0.0000  0.0000  2 Zn 2.29
Ni  0.5000  0.5000  0.5000  4 Pd 3.24, 8 Ga 3.28
Zn  0.0000  0.0000  0.0000  4 Ga 2.29, 2 Pd 2.34

11.
The following is a DFT calculation (PBE) of an optimized crystal structure of PmGa3Ni5.

Formation enthalpy at 0 K   -397 meV per atom
Calculated total energy   -5.1457 eV/atom
DOS(E_F)   11.41 states/eV per cell

Cell lengths 3.8982, 6.4028, 11.4403 Å; angles 90.00, 90.00, 107.72 degrees
Last column: nearest neighbours and their distance in Å.
Atoms (fractional coordinates):
Ga  0.6203  0.2405  0.4474  7 Ni 2.31-2.51
Ga  0.0955  0.1910  0.7500  6 Ni 2.36-2.44
Ga  0.3797  0.7595  0.9474  7 Ni 2.31-2.51
Ga  0.9045  0.8090  0.2500  6 Ni 2.36-2.44
Ga  0.3797  0.7595  0.5526  7 Ni 2.31-2.51
Ga  0.6203  0.2405  0.0526  7 Ni 2.31-2.51
Ni  0.0000  0.0000  0.0000  6 Ni 2.43-2.62, 4 Ga 2.51
Ni  0.1903  0.3805  0.5620  4 Ga 2.31-2.50, 1 Ni 2.43
Ni  0.0000  0.0000  0.5000  6 Ni 2.43-2.62, 4 Ga 2.51
Ni  0.8097  0.6195  0.0620  4 Ga 2.31-2.50, 1 Ni 2.43
Ni  0.5559  0.1117  0.8589  4 Ga 2.35-2.37, 3 Ni 2.49-2.62
Ni  0.4441  0.8883  0.3589  4 Ga 2.35-2.37, 3 Ni 2.49-2.62
Ni  0.4441  0.8883  0.1411  4 Ga 2.35-2.37, 3 Ni 2.49-2.62
Ni  0.8097  0.6195  0.4380  4 Ga 2.31-2.50, 1 Ni 2.43
Ni  0.1903  0.3805  0.9380  4 Ga 2.31-2.50, 1 Ni 2.43
Ni  0.5559  0.1117  0.6411  4 Ga 2.35-2.37, 3 Ni 2.49-2.62
Pm  0.1880  0.3759  0.2500  7 Ga 3.10-3.46, 6 Ni 3.26-3.36
Pm  0.8120  0.6241  0.7500  7 Ga 3.10-3.46, 6 Ni 3.26-3.36

12.
The following is a DFT calculation (PBE) of an optimized crystal structure of Pm12GaNi5.

Formation enthalpy at 0 K   -259 meV per atom
Calculated total energy   -5.1999 eV/atom
DOS(E_F)   16.54 states/eV per cell

Cell lengths 8.5123, 8.5123, 8.5123 Å; angles 106.96, 112.15, 109.34 degrees
Last column: nearest neighbours and their distance in Å.
Atoms (fractional coordinates):
Pm  0.6956  0.6751  0.3707  3 Ni 2.75-2.89
Pm  0.5222  0.8195  0.7027  2 Ni 2.91
Pm  0.3044  0.3249  0.6293  3 Ni 2.75-2.89
Pm  0.8119  0.5991  0.7872  2 Ni 2.77-2.84
Pm  0.8832  0.1805  0.7027  2 Ni 2.91
Pm  0.1881  0.9753  0.7872  2 Ni 2.77-2.84
Pm  0.4778  0.1805  0.2973  2 Ni 2.91
Pm  0.6956  0.3249  0.0205  3 Ni 2.75-2.89
Pm  0.1168  0.8195  0.2973  2 Ni 2.91
Pm  0.1881  0.4009  0.2128  2 Ni 2.77-2.84
Pm  0.8119  0.0247  0.2128  2 Ni 2.77-2.84
Pm  0.3044  0.6751  0.9795  3 Ni 2.75-2.89
Ni  0.5000  0.8753  0.3753  1 Ni 2.53, 2 Pm 2.75
Ni  0.5000  0.1247  0.6247  1 Ni 2.53, 2 Pm 2.75
Ni  0.6349  0.6349  0.0000  1 Ni 2.66, 6 Pm 2.77-2.89
Ni  0.0000  0.0000  0.0000  4 Pm 2.84
Ni  0.3651  0.3651  0.0000  1 Ni 2.66, 6 Pm 2.77-2.89
Ga  0.0000  0.5000  0.5000  12 Pm 3.39-3.69

Please write out number 10 again, unchanged.
The following is a DFT calculation (PBE) of an optimized crystal structure of ZnGa2NiPd.

Formation enthalpy at 0 K   711 meV per atom
Calculated total energy   -2.9494 eV/atom
DOS(E_F)   4.49 states/eV per cell

Cell lengths 4.5801, 4.6887, 4.5801 Å; angles 90.00, 90.00, 90.00 degrees
Last column: nearest neighbours and their distance in Å.
Atoms (fractional coordinates):
Pd  0.0000  0.5000  0.0000  2 Zn 2.34
Ga  0.0000  0.0000  0.5000  2 Zn 2.29
Ga  0.5000  0.0000  0.0000  2 Zn 2.29
Ni  0.5000  0.5000  0.5000  4 Pd 3.24, 8 Ga 3.28
Zn  0.0000  0.0000  0.0000  4 Ga 2.29, 2 Pd 2.34

Q: Which value of formation enthalpy at 0 K does entry 4 give?
A: -283 meV per atom